No. 1
MgTlFePd: relaxed, GGA-PBE.

CIF file:
```
data_MgTlFePd
_cell_length_a 6.5005
_cell_length_b 6.5005
_cell_length_c 6.5005
_cell_angle_alpha 90.00
_cell_angle_beta 90.00
_cell_angle_gamma 90.00
_space_group_name_H-M_alt 'F -4 3 m'
_space_group_IT_number 216
_space_group_name_Hall 'F -4 2 3'
loop_
_atom_site_label
_atom_site_type_symbol
_atom_site_fract_x
_atom_site_fract_y
_atom_site_fract_z
_atom_site_occupancy
Mg1 Mg 0.0000 0.0000 0.0000 1
Tl1 Tl 0.0000 0.0000 0.5000 1
Fe1 Fe 0.2500 0.2500 0.7500 1
Pd1 Pd 0.2500 0.2500 0.2500 1
```

Energy ... -4.301 eV per atom


No. 2
PmMgFe: relaxed, GGA-PBE.

CIF file:
```
data_PmMgFe
_cell_length_a 6.6143
_cell_length_b 6.6143
_cell_length_c 6.6143
_cell_angle_alpha 90.00
_cell_angle_beta 90.00
_cell_angle_gamma 90.00
_space_group_name_H-M_alt 'F -4 3 m'
_space_group_IT_number 216
_space_group_name_Hall 'F -4 2 3'
loop_
_atom_site_label
_atom_site_type_symbol
_atom_site_fract_x
_atom_site_fract_y
_atom_site_fract_z
_atom_site_occupancy
Pm1 Pm 0.0000 0.0000 0.0000 1
Mg1 Mg 0.0000 0.0000 0.5000 1
Fe1 Fe 0.2500 0.2500 0.7500 1
```

Energy ... -4.450 eV per atom


No. 3
PmMgFe: relaxed, GGA-PBE.

CIF file:
```
data_PmMgFe
_cell_length_a 6.7373
_cell_length_b 6.7373
_cell_length_c 6.7373
_cell_angle_alpha 90.00
_cell_angle_beta 90.00
_cell_angle_gamma 90.00
_space_group_name_H-M_alt 'F -4 3 m'
_space_group_IT_number 216
_space_group_name_Hall 'F -4 2 3'
loop_
_atom_site_label
_atom_site_type_symbol
_atom_site_fract_x
_atom_site_fract_y
_atom_site_fract_z
_atom_site_occupancy
Pm1 Pm 0.0000 0.0000 0.0000 1
Mg1 Mg 0.2500 0.2500 0.2500 1
Fe1 Fe 0.2500 0.2500 0.7500 1
```

Energy ... -3.861 eV per atom


No. 4
Mg3Fe2Pt2: relaxed, GGA-PBE.

CIF file:
```
data_Mg3Fe2Pt2
_cell_length_a 4.2762
_cell_length_b 4.2762
_cell_length_c 20.8526
_cell_angle_alpha 90.00
_cell_angle_beta 90.00
_cell_angle_gamma 120.00
_space_group_name_H-M_alt 'R 3 m'
_space_group_IT_number 160
_space_group_name_Hall 'R 3 -2"'
loop_
_atom_site_label
_atom_site_type_symbol
_atom_site_fract_x
_atom_site_fract_y
_atom_site_fract_z
_atom_site_occupancy
Mg1 Mg 0.0000 0.0000 0.0000 1
Mg2 Mg 0.0000 0.0000 0.2506 1
Mg3 Mg 0.0000 0.0000 0.7471 1
Fe1 Fe 0.0000 0.0000 0.3853 1
Fe2 Fe 0.0000 0.0000 0.8673 1
Pt1 Pt 0.0000 0.0000 0.1279 1
Pt2 Pt 0.0000 0.0000 0.6203 1
```

Energy ... -4.747 eV per atom


No. 5
MgFePt6: relaxed, GGA-PBE.

CIF file:
```
data_MgFePt6
_cell_length_a 3.9367
_cell_length_b 3.9367
_cell_length_c 7.8672
_cell_angle_alpha 90.00
_cell_angle_beta 90.00
_cell_angle_gamma 90.00
_space_group_name_H-M_alt 'P 4/m m m'
_space_group_IT_number 123
_space_group_name_Hall '-P 4 2'
loop_
_atom_site_label
_atom_site_type_symbol
_atom_site_fract_x
_atom_site_fract_y
_atom_site_fract_z
_atom_site_occupancy
Mg1 Mg 0.0000 0.0000 0.0000 1
Fe1 Fe 0.0000 0.0000 0.5000 1
Pt1 Pt 0.0000 0.5000 0.2563 1
Pt2 Pt 0.5000 0.5000 0.0000 1
Pt3 Pt 0.5000 0.5000 0.5000 1
```

Energy ... -6.188 eV per atom


No. 6
MgFeSnPt: relaxed, GGA-PBE.

CIF file:
```
data_MgFeSnPt
_cell_length_a 6.3951
_cell_length_b 6.3951
_cell_length_c 6.3951
_cell_angle_alpha 90.00
_cell_angle_beta 90.00
_cell_angle_gamma 90.00
_space_group_name_H-M_alt 'F -4 3 m'
_space_group_IT_number 216
_space_group_name_Hall 'F -4 2 3'
loop_
_atom_site_label
_atom_site_type_symbol
_atom_site_fract_x
_atom_site_fract_y
_atom_site_fract_z
_atom_site_occupancy
Mg1 Mg 0.0000 0.0000 0.0000 1
Fe1 Fe 0.2500 0.2500 0.7500 1
Sn1 Sn 0.0000 0.0000 0.5000 1
Pt1 Pt 0.2500 0.2500 0.2500 1
```

Energy ... -5.227 eV per atom


No. 7
RbMgFeS3: relaxed, GGA-PBE.

CIF file:
```
data_RbMgFeS3
_cell_length_a 8.1675
_cell_length_b 3.5870
_cell_length_c 10.3126
_cell_angle_alpha 90.00
_cell_angle_beta 113.01
_cell_angle_gamma 90.00
_space_group_name_H-M_alt 'P 1 21/m 1'
_space_group_IT_number 11
_space_group_name_Hall '-P 2yb'
loop_
_atom_site_label
_atom_site_type_symbol
_atom_site_fract_x
_atom_site_fract_y
_atom_site_fract_z
_atom_site_occupancy
Rb1 Rb 0.0136 0.2500 0.2610 1
Mg1 Mg 0.4967 0.7500 0.3771 1
Fe1 Fe 0.4487 0.2500 0.0944 1
S1 S 0.2795 0.7500 0.1248 1
S2 S 0.3013 0.7500 0.5138 1
S3 S 0.3584 0.2500 0.8607 1
```

Energy ... -4.711 eV per atom


No. 8
MgFeReSb: relaxed, GGA-PBE.

CIF file:
```
data_MgFeReSb
_cell_length_a 6.2864
_cell_length_b 6.2864
_cell_length_c 6.2864
_cell_angle_alpha 90.00
_cell_angle_beta 90.00
_cell_angle_gamma 90.00
_space_group_name_H-M_alt 'F -4 3 m'
_space_group_IT_number 216
_space_group_name_Hall 'F -4 2 3'
loop_
_atom_site_label
_atom_site_type_symbol
_atom_site_fract_x
_atom_site_fract_y
_atom_site_fract_z
_atom_site_occupancy
Mg1 Mg 0.0000 0.0000 0.0000 1
Fe1 Fe 0.2500 0.2500 0.7500 1
Re1 Re 0.2500 0.2500 0.2500 1
Sb1 Sb 0.0000 0.0000 0.5000 1
```

Energy ... -6.178 eV per atom


No. 9
MgFeReSi: relaxed, GGA-PBE.

CIF file:
```
data_MgFeReSi
_cell_length_a 5.9715
_cell_length_b 5.9715
_cell_length_c 5.9715
_cell_angle_alpha 90.00
_cell_angle_beta 90.00
_cell_angle_gamma 90.00
_space_group_name_H-M_alt 'F -4 3 m'
_space_group_IT_number 216
_space_group_name_Hall 'F -4 2 3'
loop_
_atom_site_label
_atom_site_type_symbol
_atom_site_fract_x
_atom_site_fract_y
_atom_site_fract_z
_atom_site_occupancy
Mg1 Mg 0.0000 0.0000 0.0000 1
Fe1 Fe 0.2500 0.2500 0.7500 1
Re1 Re 0.2500 0.2500 0.2500 1
Si1 Si 0.0000 0.0000 0.5000 1
```

Energy ... -6.750 eV per atom


No. 10
MgFeReSn: relaxed, GGA-PBE.

CIF file:
```
data_MgFeReSn
_cell_length_a 6.3462
_cell_length_b 6.3462
_cell_length_c 6.3462
_cell_angle_alpha 90.00
_cell_angle_beta 90.00
_cell_angle_gamma 90.00
_space_group_name_H-M_alt 'F -4 3 m'
_space_group_IT_number 216
_space_group_name_Hall 'F -4 2 3'
loop_
_atom_site_label
_atom_site_type_symbol
_atom_site_fract_x
_atom_site_fract_y
_atom_site_fract_z
_atom_site_occupancy
Mg1 Mg 0.0000 0.0000 0.0000 1
Fe1 Fe 0.2500 0.2500 0.7500 1
Re1 Re 0.2500 0.2500 0.2500 1
Sn1 Sn 0.0000 0.0000 0.5000 1
```

Energy ... -6.121 eV per atom


No. 11
MgZnFeRe: relaxed, GGA-PBE.

CIF file:
```
data_MgZnFeRe
_cell_length_a 6.0099
_cell_length_b 6.0099
_cell_length_c 6.0099
_cell_angle_alpha 90.00
_cell_angle_beta 90.00
_cell_angle_gamma 90.00
_space_group_name_H-M_alt 'F -4 3 m'
_space_group_IT_number 216
_space_group_name_Hall 'F -4 2 3'
loop_
_atom_site_label
_atom_site_type_symbol
_atom_site_fract_x
_atom_site_fract_y
_atom_site_fract_z
_atom_site_occupancy
Mg1 Mg 0.0000 0.0000 0.0000 1
Zn1 Zn 0.2500 0.2500 0.2500 1
Fe1 Fe 0.0000 0.0000 0.5000 1
Re1 Re 0.2500 0.2500 0.7500 1
```

Energy ... -5.560 eV per atom


No. 12
MgFe2S3: relaxed, GGA-PBE.

CIF file:
```
data_MgFe2S3
_cell_length_a 3.3951
_cell_length_b 11.7462
_cell_length_c 8.8710
_cell_angle_alpha 90.00
_cell_angle_beta 90.00
_cell_angle_gamma 90.00
_space_group_name_H-M_alt 'C m c m'
_space_group_IT_number 63
_space_group_name_Hall '-C 2c 2'
loop_
_atom_site_label
_atom_site_type_symbol
_atom_site_fract_x
_atom_site_fract_y
_atom_site_fract_z
_atom_site_occupancy
Mg1 Mg 0.0000 0.2438 0.2500 1
Fe1 Fe 0.0000 0.0000 0.0000 1
Fe2 Fe 0.0000 0.4547 0.7500 1
S1 S 0.0000 0.0797 0.7500 1
S2 S 0.0000 0.3655 0.5337 1
```

Energy ... -5.575 eV per atom